SmNiPtO4 (PBE+U, relaxed); crystal system = orthorhombic; uncorrected energy = -0.4522 Ry per atom
1.0
-3.227 3.429 4.295
3.227 -3.429 4.295
3.227 3.429 -4.295
Sm Ni Pt O
2 2 2 8
Direct
0.000 0.000 0.000
0.500 0.000 0.500
0.368 0.618 0.750
0.632 0.382 0.250
0.000 0.000 0.500
0.000 0.500 0.000
0.201 0.727 0.474
0.244 0.238 0.493
0.244 0.751 0.007
0.247 0.273 0.974
0.753 0.727 0.026
0.756 0.249 0.993
0.756 0.762 0.507
0.799 0.273 0.526